1.
! MgCuPt2 | Alexandria via LeMat-Bulk | PBEsol | optimized geometry; values from VASP
&SYSTEM
  ibrav = 0, nat = 4, ntyp = 3
/
ATOMIC_SPECIES
Mg 24.30 Mg.upf
Cu 63.55 Cu.upf
Pt 195.08 Pt.upf
CELL_PARAMETERS angstrom
2.802 -3.551 0.000
2.802 3.551 0.000
0.000 0.000 2.843
ATOMIC_POSITIONS angstrom
Mg 0.000 0.000 0.000
Cu 2.802 0.000 0.000
Pt 1.401 1.775 1.421
Pt 1.401 -1.775 1.421
! Total magnetic moment, μB/cell: 0.00
! Energy of formation, meV/atom: -477



2.
! LaTe | Alexandria via LeMat-Bulk | PBEsol | optimized geometry; values from VASP
&SYSTEM
  ibrav = 0, nat = 2, ntyp = 2
/
ATOMIC_SPECIES
La 138.91 La.upf
Te 127.60 Te.upf
CELL_PARAMETERS angstrom
0.000 3.194 3.194
3.194 0.000 3.194
3.194 3.194 0.000
ATOMIC_POSITIONS angstrom
La 0.000 0.000 0.000
Te 3.194 3.194 3.194
! Total magnetic moment, μB/cell: 0.00
! ΔE_f (raw), eV per atom: -1.6003



3.
! GeBrO2F | Alexandria via LeMat-Bulk | PBEsol | optimized geometry; values from VASP
&SYSTEM
  ibrav = 0, nat = 5, ntyp = 4
/
ATOMIC_SPECIES
Ge 72.64 Ge.upf
Br 79.90 Br.upf
O 16.00 O.upf
F 19.00 F.upf
CELL_PARAMETERS angstrom
3.821 0.000 0.000
0.000 3.821 0.000
0.000 0.000 3.942
ATOMIC_POSITIONS angstrom
Ge 0.000 0.000 0.000
Br 1.911 1.911 1.971
O 0.000 1.911 0.000
O 1.911 0.000 0.000
F 0.000 0.000 1.971
! Total magnetic moment, μB/cell: 1.23
! ΔE_f (raw), eV per atom: -0.6273



D(E_F) list, top to bottom, in states/eV per cell: 1.60, 1.28, 3.82